# 1
Material: LiPu2As3Pt4
Method: DFT, GGA-PBE
State: relaxed

Cell and atoms, written as POSCAR:
```
LiPu2As3Pt4
1.0
4.227 0.000 0.000
0.000 4.227 0.000
0.000 0.000 10.538
Li Pu As Pt
1 2 3 4
Direct
0.000 0.000 0.000
0.000 0.500 0.746
0.500 0.000 0.254
0.000 0.500 0.362
0.500 0.000 0.638
0.500 0.500 0.000
0.000 0.000 0.500
0.000 0.500 0.130
0.500 0.000 0.870
0.500 0.500 0.500
```

Summary:
As for the energy of formation: -679 meV/atom. The symmetry is No. 115.

---

# 2
Material: BaSiRu2
Method: DFT, GGA-PBE
State: relaxed

Cell and atoms, written as POSCAR:
```
BaSiRu2
1.0
-1.498 2.589 5.109
1.498 -2.589 5.109
1.498 2.589 -5.109
Ba Si Ru
1 1 2
Direct
0.000 0.000 0.000
0.708 0.208 0.500
0.294 0.794 0.500
0.513 0.513 0.000
```

Summary:
The symmetry is No. 44. The formation energy from raw total energies is 0.640 eV per atom.

---

Record order is preserved below.
Calculated volume: 18.826 19.814 Å³/atom